First-principles (GGA-PBE) data for a relaxed structure of CsAuC2, as listed in the Alexandria database.

Summary:
- formation enthalpy at 0 K (kJ/mol of formula units) = 1139
- offset from the most stable computed form (meV/atom) = 2784
- crystal system = cubic

Unit cell a=4.6791 b=4.6791 c=4.6791 alpha=60.00 beta=60.00 gamma=60.00
Closest atoms and distances in Å follow each position.
Element x y z (fractional)
C (0.2500, 0.2500, 0.2500)  4 Au 2.87, 4 Cs 2.87
C (0.7500, 0.7500, 0.7500)  4 Cs 2.87, 4 Au 2.87
Cs (0.0000, 0.0000, 0.0000)  8 C 2.87
Au (0.5000, 0.5000, 0.5000)  8 C 2.87

***

First-principles (GGA-PBE) data for a relaxed structure of Nd2Tm6Cd, as listed in the Alexandria database.

Summary:
- formation enthalpy at 0 K (kJ/mol of formula units) = 22
- crystal system = orthorhombic

Unit cell a=5.4341 b=9.7409 c=10.2153 alpha=90.00 beta=89.98 gamma=90.00
Closest atoms and distances in Å follow each position.
Element x y z (fractional)
Nd (0.0001, 0.6913, 0.2437)  10 Tm 3.26-3.60
Nd (0.9999, 0.3087, 0.7563)  10 Tm 3.26-3.60
Nd (0.5001, 0.8088, 0.7437)  10 Tm 3.26-3.60
Nd (0.4999, 0.1912, 0.2563)  10 Tm 3.26-3.60
Tm (0.5001, 0.8609, 0.3945)  2 Cd 3.22, 3 Tm 3.35-3.46, 4 Nd 3.51-3.60
Tm (0.0001, 0.6771, 0.5690)  1 Cd 3.22, 3 Nd 3.33-3.50, 3 Tm 3.35-3.49
Tm (0.9999, 0.3609, 0.1055)  2 Cd 3.22, 3 Tm 3.35-3.46, 4 Nd 3.51-3.60
Tm (0.5000, 0.5183, 0.3240)  3 Nd 3.26-3.30, 1 Cd 3.31, 4 Tm 3.41-3.61
Tm (0.4999, 0.1391, 0.6055)  2 Cd 3.22, 3 Tm 3.35-3.46, 4 Nd 3.51-3.60
Tm (0.0000, 0.9817, 0.8240)  3 Nd 3.26-3.30, 1 Cd 3.31, 4 Tm 3.41-3.61
Tm (0.5001, 0.8229, 0.0690)  1 Cd 3.22, 3 Nd 3.33-3.50, 3 Tm 3.35-3.49
Tm (0.4999, 0.1771, 0.9310)  1 Cd 3.22, 3 Nd 3.33-3.50, 3 Tm 3.35-3.49
Tm (0.0000, 0.0183, 0.1760)  3 Nd 3.26-3.30, 1 Cd 3.31, 4 Tm 3.41-3.61
Tm (0.9999, 0.3229, 0.4310)  1 Cd 3.22, 3 Nd 3.33-3.50, 3 Tm 3.35-3.49
Tm (0.5000, 0.4817, 0.6760)  3 Nd 3.26-3.30, 1 Cd 3.31, 4 Tm 3.41-3.61
Tm (0.0001, 0.6391, 0.8945)  2 Cd 3.22, 3 Tm 3.35-3.46, 4 Nd 3.51-3.60
Cd (0.5000, 0.5000, 0.0000)  8 Tm 3.22-3.31
Cd (0.0000, 0.0000, 0.5000)  8 Tm 3.22-3.31

***

First-principles (GGA-PBE) data for a relaxed structure of Ac3Y3Er, as listed in the Alexandria database.

Summary:
- formation enthalpy at 0 K (kJ/mol of formula units) = 41
- crystal system = trigonal

Unit cell a=9.9052 b=9.9052 c=8.3749 alpha=53.75 beta=53.75 gamma=60.00
Closest atoms and distances in Å follow each position.
Element x y z (fractional)
Ac (0.6760, 0.1133, 0.2524)  5 Y 3.65-3.87, 2 Er 3.74-3.85, 5 Ac 3.76-3.80
Ac (0.1133, 0.9583, 0.2524)  5 Y 3.65-3.87, 2 Er 3.74-3.85, 5 Ac 3.76-3.80
Ac (0.3240, 0.8867, 0.7476)  5 Y 3.65-3.87, 2 Er 3.74-3.85, 5 Ac 3.76-3.80
Ac (0.9583, 0.6760, 0.2524)  5 Y 3.65-3.87, 2 Er 3.74-3.85, 5 Ac 3.76-3.80
Ac (0.0417, 0.3240, 0.7476)  5 Y 3.65-3.87, 2 Er 3.74-3.85, 5 Ac 3.76-3.80
Ac (0.8867, 0.0417, 0.7476)  5 Y 3.65-3.87, 2 Er 3.74-3.85, 5 Ac 3.76-3.80
Y (0.8172, 0.4016, 0.2487)  2 Er 3.61-3.77, 5 Y 3.65-3.73, 5 Ac 3.65-3.87
Y (0.5984, 0.4674, 0.7513)  2 Er 3.61-3.77, 5 Y 3.65-3.73, 5 Ac 3.65-3.87
Y (0.5326, 0.8172, 0.2487)  2 Er 3.61-3.77, 5 Y 3.65-3.73, 5 Ac 3.65-3.87
Y (0.4674, 0.1828, 0.7513)  2 Er 3.61-3.77, 5 Y 3.65-3.73, 5 Ac 3.65-3.87
Y (0.4016, 0.5326, 0.2487)  2 Er 3.61-3.77, 5 Y 3.65-3.73, 5 Ac 3.65-3.87
Y (0.1828, 0.5984, 0.7513)  2 Er 3.61-3.77, 5 Y 3.65-3.73, 5 Ac 3.65-3.87
Er (0.7433, 0.7433, 0.7702)  6 Y 3.61-3.77, 6 Ac 3.74-3.85
Er (0.2567, 0.2567, 0.2298)  6 Y 3.61-3.77, 6 Ac 3.74-3.85

***

First-principles (GGA-PBE) data for a relaxed structure of Cs2RbMn2Br7, as listed in the Alexandria database.

Summary:
- energy relative to the elements, uncorrected (eV/atom) = -1.287
- crystal system = monoclinic

Unit cell a=5.4500 b=5.4500 c=14.7817 alpha=79.36 beta=79.36 gamma=89.99
Closest atoms and distances in Å follow each position.
Element x y z (fractional)
Br (0.9079, 0.4081, 0.1833)  2 Mn 2.72-2.73
Br (0.5000, 0.5000, 0.0000)  2 Mn 2.73
Br (0.4081, 0.9079, 0.1833)  2 Mn 2.72-2.73
Br (0.5919, 0.0921, 0.8167)  2 Mn 2.72-2.73
Br (0.0921, 0.5919, 0.8167)  2 Mn 2.72-2.73
Br (0.3110, 0.3110, 0.3768)  1 Mn 2.65
Br (0.6890, 0.6890, 0.6232)  1 Mn 2.65
Mn (0.5970, 0.5970, 0.8086)  6 Br 2.65-2.73
Mn (0.4030, 0.4030, 0.1914)  6 Br 2.65-2.73
Rb (0.0000, 0.0000, 0.0000)  12 Br 3.78-3.85
Cs (0.8190, 0.8190, 0.3610)  9 Br 3.72-3.86
Cs (0.1810, 0.1810, 0.6390)  9 Br 3.72-3.86

***

First-principles (GGA-PBE) data for a relaxed structure of InNiHg2I, as listed in the Alexandria database.

Summary:
- energy relative to the elements, uncorrected (eV/atom) = -0.031
- crystal system = tetragonal

Unit cell a=5.1631 b=5.1631 c=5.2267 alpha=90.00 beta=90.00 gamma=90.00
Closest atoms and distances in Å follow each position.
Element x y z (fractional)
Hg (0.0000, 0.5000, 0.0000)  2 Ni 2.58
Hg (0.5000, 0.0000, 0.0000)  2 Ni 2.58
In (0.0000, 0.0000, 0.5000)  2 Ni 2.61
Ni (0.0000, 0.0000, 0.0000)  4 Hg 2.58, 2 In 2.61
I (0.5000, 0.5000, 0.5000)  4 In 3.65, 8 Hg 3.67

***

First-principles (GGA-PBE) data for a relaxed structure of Ho3Mg4In4, as listed in the Alexandria database.

Summary:
- formation enthalpy at 0 K (kJ/mol of formula units) = -314
- crystal system = orthorhombic

Unit cell a=4.6970 b=7.5697 c=8.9239 alpha=115.10 beta=105.26 gamma=90.00
Closest atoms and distances in Å follow each position.
Element x y z (fractional)
Mg (0.3272, 0.1311, 0.6544)  4 In 2.80-2.87, 1 Mg 2.97
Mg (0.6728, 0.4767, 0.3456)  4 In 2.80-2.87, 1 Mg 2.97
Mg (0.6728, 0.8689, 0.3456)  4 In 2.80-2.87, 1 Mg 2.97
Mg (0.3272, 0.5233, 0.6544)  4 In 2.80-2.87, 1 Mg 2.97
In (0.2164, 0.7164, 0.4328)  6 Mg 2.86-2.87
In (0.5000, 0.8054, 0.0000)  2 Mg 2.80, 1 In 2.95
In (0.7836, 0.2836, 0.5672)  6 Mg 2.86-2.87
In (0.5000, 0.1946, 0.0000)  2 Mg 2.80, 1 In 2.95
Ho (0.1181, 0.1181, 0.2363)  6 In 3.32-3.47, 6 Mg 3.39-3.56, 1 Ho 3.65
Ho (0.8819, 0.8819, 0.7637)  6 In 3.32-3.47, 6 Mg 3.39-3.56, 1 Ho 3.65
Ho (0.0000, 0.5000, 0.0000)  6 In 3.30-3.35

***

First-principles (GGA-PBE) data for a relaxed structure of DyAsBrO4, as listed in the Alexandria database.

Summary:
- energy relative to the elements, uncorrected (eV/atom) = -1.911
- crystal system = monoclinic

Unit cell a=6.6280 b=6.6280 c=6.7913 alpha=79.24 beta=79.24 gamma=57.21
Closest atoms and distances in Å follow each position.
Element x y z (fractional)
As (0.6350, 0.6350, 0.7376)  4 O 1.69-1.75
As (0.3650, 0.3650, 0.2624)  4 O 1.69-1.75
O (0.5237, 0.1126, 0.1268)  1 As 1.75
O (0.4763, 0.8874, 0.8732)  1 As 1.75
O (0.2959, 0.2959, 0.5078)  1 As 1.69
O (0.1126, 0.5237, 0.1268)  1 As 1.75
O (0.5130, 0.5130, 0.2326)  1 As 1.69
O (0.4870, 0.4870, 0.7674)  1 As 1.69
O (0.7041, 0.7041, 0.4922)  1 As 1.69
O (0.8874, 0.4763, 0.8732)  1 As 1.75
Dy (0.2970, 0.2970, 0.8301)  4 O 2.16-2.28
Dy (0.7030, 0.7030, 0.1699)  4 O 2.16-2.28
Br (0.9781, 0.9781, 0.6730)  1 Br 2.30
Br (0.0219, 0.0219, 0.3270)  1 Br 2.30

***

First-principles (GGA-PBE) data for a relaxed structure of GdErO2, as listed in the Alexandria database.

Summary:
- energy relative to the elements, uncorrected (eV/atom) = -2.898
- crystal system = trigonal

Unit cell a=3.5745 b=3.5745 c=6.8654 alpha=74.91 beta=74.91 gamma=60.00
Closest atoms and distances in Å follow each position.
Element x y z (fractional)
Er (0.5000, 0.5000, 0.5000)  6 O 2.31
Gd (0.0000, 0.0000, 0.0000)  2 O 2.24
O (0.1139, 0.1139, 0.6583)  1 Gd 2.24, 3 Er 2.31
O (0.8861, 0.8861, 0.3417)  1 Gd 2.24, 3 Er 2.31

***

First-principles (GGA-PBE) data for a relaxed structure of TaAg2Ir, as listed in the Alexandria database.

Summary:
- formation enthalpy at 0 K (kJ/mol of formula units) = 53
- offset from the most stable computed form (meV/atom) = 113
- crystal system = tetragonal

Unit cell a=4.8807 b=4.8807 c=4.8807 alpha=130.22 beta=130.22 gamma=73.05
Closest atoms and distances in Å follow each position.
Element x y z (fractional)
Ag (0.2500, 0.7500, 0.5000)  4 Ir 2.84, 4 Ag 2.84, 4 Ta 2.90
Ag (0.0000, 0.0000, 0.0000)  4 Ag 2.84, 4 Ta 2.84, 4 Ir 2.90
Ir (0.5000, 0.5000, 0.0000)  4 Ta 2.84, 8 Ag 2.84-2.90
Ta (0.7500, 0.2500, 0.5000)  4 Ir 2.84, 8 Ag 2.84-2.90

***

First-principles (GGA-PBE) data for a relaxed structure of SrGdHg, as listed in the Alexandria database.

Summary:
- formation enthalpy at 0 K (kJ/mol of formula units) = -82
- offset from the most stable computed form (meV/atom) = 0
- crystal system = tetragonal

Unit cell a=3.8714 b=3.8714 c=7.3284 alpha=105.32 beta=105.32 gamma=90.00
Closest atoms and distances in Å follow each position.
Element x y z (fractional)
Sr (0.0205, 0.0205, 0.0409)  4 Hg 3.50, 1 Gd 3.78, 4 Sr 3.87
Gd (0.2981, 0.2981, 0.5963)  4 Hg 3.16
Hg (0.6814, 0.6814, 0.3628)  4 Gd 3.16, 4 Sr 3.50

***

First-principles (GGA-PBE) data for a relaxed structure of Mg2TaAs, as listed in the Alexandria database.

Summary:
- formation enthalpy at 0 K (kJ/mol of formula units) = 23
- crystal system = monoclinic

Unit cell a=4.8380 b=2.8730 c=5.7356 alpha=76.27 beta=90.00 gamma=90.00
Closest atoms and distances in Å follow each position.
Element x y z (fractional)
Ta (0.0000, 0.6750, 0.5182)  2 As 2.67, 2 Ta 2.87, 1 Mg 2.94
As (0.5000, 0.5711, 0.7221)  2 Ta 2.67, 2 As 2.87, 2 Mg 2.89-2.93
Mg (0.0000, 0.9541, 0.9910)  4 Mg 2.87-3.18, 3 Ta 2.94-3.01, 4 As 3.17-3.20
Mg (0.5000, 0.2998, 0.2688)  4 Mg 2.87-3.18, 3 As 2.89-3.05, 4 Ta 3.13-3.15

***

First-principles (GGA-PBE) data for a relaxed structure of PrMg2BeAu4, as listed in the Alexandria database.

Summary:
- formation enthalpy at 0 K (kJ/mol of formula units) = -380
- crystal system = trigonal

Unit cell a=4.5322 b=4.5322 c=9.1227 alpha=75.62 beta=75.62 gamma=60.00
Closest atoms and distances in Å follow each position.
Element x y z (fractional)
Au (0.8658, 0.8658, 0.4026)  4 Mg 2.73-2.81, 3 Be 2.75
Au (0.5969, 0.5969, 0.2093)  1 Be 2.54, 3 Mg 2.70
Au (0.1342, 0.1342, 0.5974)  4 Mg 2.73-2.81, 3 Be 2.75
Au (0.4031, 0.4031, 0.7907)  1 Be 2.54, 3 Mg 2.70
Be (0.5000, 0.5000, 0.5000)  8 Au 2.54-2.75
Pr (0.0000, 0.0000, 0.0000)  8 Au 3.19-3.52
Mg (0.2385, 0.2385, 0.2846)  7 Au 2.70-2.81
Mg (0.7615, 0.7615, 0.7154)  7 Au 2.70-2.81

***

In the order shown, the computed size of the total moment values come out to 0.000, 0.000, 0.000, 0.833, 0.000, 0.000, 0.000, 1.788, 0.000, 2.526, 0.000, 0.000 μB/atom.